[1]
Below is a relaxed structure of CaIn12Pd6, with properties calculated at the GGA-PBE level.

Cell and atoms, written as POSCAR:
```
CaIn12Pd6
1.0
6.262 3.615 3.146
-6.262 3.615 3.146
0.000 -7.231 3.146
Ca In Pd
1 12 6
direct
0.000 0.000 0.000 Ca
0.117 0.500 0.883 In
0.117 0.883 0.500 In
0.149 0.402 0.402 In
0.402 0.149 0.402 In
0.402 0.402 0.149 In
0.500 0.117 0.883 In
0.500 0.883 0.117 In
0.598 0.598 0.851 In
0.598 0.851 0.598 In
0.851 0.598 0.598 In
0.883 0.117 0.500 In
0.883 0.500 0.117 In
0.281 0.281 0.704 Pd
0.281 0.704 0.281 Pd
0.296 0.719 0.719 Pd
0.704 0.281 0.281 Pd
0.719 0.296 0.719 Pd
0.719 0.719 0.296 Pd
```

Properties
M_tot	0.0	μB/f.u.

[2]
Below is a relaxed structure of CaInPd4, with properties calculated at the GGA-PBE level.

Cell and atoms, written as POSCAR:
```
CaInPd4
1.0
7.790 0.000 0.000
0.000 4.166 0.000
0.000 0.000 7.096
Ca In Pd
2 2 8
direct
0.250 0.000 0.179 Ca
0.750 0.000 0.821 Ca
0.250 0.000 0.749 In
0.750 0.000 0.251 In
0.000 0.000 0.500 Pd
0.035 0.500 0.805 Pd
0.250 0.500 0.469 Pd
0.465 0.500 0.805 Pd
0.500 0.000 0.500 Pd
0.535 0.500 0.195 Pd
0.750 0.500 0.531 Pd
0.965 0.500 0.195 Pd
```

Properties
M_tot	0.0	μB/f.u.

[3]
Below is a relaxed structure of Ca3InPd, with properties calculated at the GGA-PBE level.

Cell and atoms, written as POSCAR:
```
Ca3InPd
1.0
10.001 0.000 0.000
0.000 8.886 0.000
0.000 0.000 6.542
Ca In Pd
12 4 4
direct
0.117 0.044 0.230 Ca
0.117 0.456 0.230 Ca
0.134 0.250 0.730 Ca
0.366 0.750 0.230 Ca
0.383 0.544 0.730 Ca
0.383 0.956 0.730 Ca
0.617 0.044 0.270 Ca
0.617 0.456 0.270 Ca
0.634 0.250 0.770 Ca
0.866 0.750 0.270 Ca
0.883 0.544 0.770 Ca
0.883 0.956 0.770 Ca
0.126 0.750 0.569 In
0.374 0.250 0.069 In
0.626 0.750 0.931 In
0.874 0.250 0.431 In
0.110 0.750 0.987 Pd
0.390 0.250 0.487 Pd
0.610 0.750 0.513 Pd
0.890 0.250 0.013 Pd
```

Properties
offset from the most stable computed form	0.0	meV/atom
M_tot	0.0	μB/f.u.

| no. | formation energy from the elements (kJ/mol of formula units) |
| --- | --- |
| 1 | -635 |
| 2 | -250 |
| 3 | -226 |